## one
An optimized crystal structure of LaAlSe, computed with PBE.

Unit cell a=3.6973 b=3.6973 c=6.5331 alpha=90.00 beta=90.00 gamma=120.00
Last column: nearest neighbours and their distance in Å.
Space group P3m1 (No. 156)
Asymmetric unit:
La 0.0000 0.0000 0.0000 (multiplicity 1)  3 Se 3.16, 3 Al 3.40
Al 0.6667 0.3333 0.5948 (multiplicity 1)  3 Se 2.64
Se 0.3333 0.6667 0.3560 (multiplicity 1)  3 Al 2.64

Computed properties:
The volume is 77.3 Å³/cell. For the mass density, the calculation gives 5.26 Mg/m³.

***

## two
An optimized crystal structure of LaAlSe, computed with PBE.

Unit cell a=5.1344 b=5.1615 c=10.7587 alpha=90.00 beta=90.00 gamma=90.00
Last column: nearest neighbours and their distance in Å.
Space group Fmm2 (No. 42)
Asymmetric unit:
La 0.0000 0.0000 0.0000 (multiplicity 4)  5 Se 3.28-3.34, 5 Al 3.30-3.31, 4 La 3.64
Al 0.0000 0.0000 0.6931 (multiplicity 4)  4 Se 2.86-2.88
Se 0.0000 0.0000 0.3109 (multiplicity 4)  4 Al 2.86-2.88

Computed properties:
The volume is 285.1 Å³/cell. For the mass density, the calculation gives 5.70 Mg/m³.

***

So which one is most stable? That would be two, about 54 meV per atom below the next structure.

***

## one
An optimized crystal structure of LaAlSe4, computed with PBE.

Unit cell a=6.5708 b=6.5708 c=14.9909 alpha=90.00 beta=90.00 gamma=90.00
Last column: nearest neighbours and their distance in Å.
Space group I4_1/a (No. 88, origin choice 2)
Asymmetric unit:
La 0.0000 0.2500 0.1250 (multiplicity 4)  8 Se 3.08-3.11
Al 0.0000 0.2500 0.6250 (multiplicity 4)  4 Se 2.40
Se 0.1730 0.0083 0.7184 (multiplicity 16)  1 Al 2.40

Computed properties:
The volume is 647.2 Å³/cell. For the mass density, the calculation gives 4.94 Mg/m³.

***

## two
An optimized crystal structure of LaAlSe4, computed with PBE.

Unit cell a=8.2912 b=8.2912 c=8.2912 alpha=90.00 beta=90.00 gamma=90.00
Last column: nearest neighbours and their distance in Å.
Space group F-43m (No. 216)
Asymmetric unit:
La 0.0000 0.0000 0.0000 (multiplicity 4)  12 Se 3.44, 4 Al 3.59
Al 0.2500 0.2500 0.2500 (multiplicity 4)  12 Se 3.44, 4 La 3.59
Se 0.1246 0.1246 0.6246 (multiplicity 16)  6 Se 2.92-2.94

Computed properties:
The volume is 570.0 Å³/cell. For the mass density, the calculation gives 5.61 Mg/m³.

***

So which one is most stable? That would be one, about 818 meV per atom below the next structure.

***

## one
An optimized crystal structure of La6SmAl, computed with PBE.

Unit cell a=6.6399 b=6.6599 c=8.8554 alpha=90.17 beta=111.68 gamma=119.80
Last column: nearest neighbours and their distance in Å.
Space group P-1 (No. 2)
Asymmetric unit:
La 0.0297 0.0688 0.2371 (multiplicity 2)  1 Al 3.02, 1 Sm 3.15
La 0.2773 0.7093 0.2371 (multiplicity 2)  1 Al 3.01, 1 Sm 3.13
La 0.3262 0.5373 0.7632 (multiplicity 2)  1 Al 3.02, 1 Sm 3.14
Sm 0.5000 0.0000 0.0000 (multiplicity 1)  6 La 3.13-3.15
Al 0.5000 0.5000 0.5000 (multiplicity 1)  6 La 3.01-3.02

Computed properties:
The volume is 307.2 Å³/cell. For the mass density, the calculation gives 5.46 Mg/m³.

***

## two
An optimized crystal structure of La6SmAl, computed with PBE.

Unit cell a=5.0757 b=5.0757 c=10.3594 alpha=90.00 beta=90.00 gamma=90.00
Last column: nearest neighbours and their distance in Å.
Space group P4/mmm (No. 123)
Asymmetric unit:
La 0.0000 0.0000 0.0000 (multiplicity 1)  8 La 3.54, 4 Al 3.59
La 0.0000 0.0000 0.5000 (multiplicity 1)  4 Sm 3.59, 8 La 3.71
La 0.0000 0.5000 0.2383 (multiplicity 4)  8 La 3.54-3.71, 2 Al 3.54, 2 Sm 3.71
Sm 0.5000 0.5000 0.5000 (multiplicity 1)  12 La 3.59-3.71
Al 0.5000 0.5000 0.0000 (multiplicity 1)  12 La 3.54-3.59

Computed properties:
The volume is 266.9 Å³/cell. For the mass density, the calculation gives 6.29 Mg/m³.

***

So which one is most stable? That would be two, about 399 meV per atom below the next structure.

***

## one
An optimized crystal structure of LaSmAl, computed with PBE.

Unit cell a=5.4103 b=5.4103 c=6.8751 alpha=90.00 beta=90.00 gamma=120.00
Last column: nearest neighbours and their distance in Å.
Space group P6_3/mmc (No. 194)
Asymmetric unit:
La 0.0000 0.0000 0.0000 (multiplicity 2)  2 La 3.44, 6 Al 3.57, 6 Sm 3.57
Sm 0.3333 0.6667 0.2500 (multiplicity 2)  5 Al 3.12-3.44
Al 0.3333 0.6667 0.7500 (multiplicity 2)  5 Sm 3.12-3.44

Computed properties:
The volume is 174.3 Å³/cell. For the mass density, the calculation gives 6.03 Mg/m³.

***

## two
An optimized crystal structure of LaSmAl, computed with PBE.

Unit cell a=5.1470 b=5.1470 c=3.7308 alpha=90.00 beta=90.00 gamma=120.00
Last column: nearest neighbours and their distance in Å.
Space group P3m1 (No. 156)
Asymmetric unit:
La 0.0000 0.0000 0.0000 (multiplicity 1)  3 Al 3.24, 3 Sm 3.31
Sm 0.3333 0.6667 0.3926 (multiplicity 1)  3 Al 3.13, 3 La 3.31
Al 0.6667 0.3333 0.6565 (multiplicity 1)  3 Sm 3.13, 3 La 3.24

Computed properties:
The volume is 85.6 Å³/cell. For the mass density, the calculation gives 6.14 Mg/m³.

***

## three
An optimized crystal structure of LaSmAl, computed with PBE.

Unit cell a=3.5470 b=3.5470 c=14.1062 alpha=90.00 beta=90.00 gamma=90.00
Last column: nearest neighbours and their distance in Å.
Space group I4mm (No. 107)
Asymmetric unit:
La 0.0000 0.0000 0.0000 (multiplicity 2)  4 Al 3.28, 4 La 3.55
Sm 0.0000 0.0000 0.2891 (multiplicity 2)  4 Al 3.18, 4 Sm 3.55
Al 0.0000 0.0000 0.6503 (multiplicity 2)  4 Sm 3.18, 4 La 3.28, 4 Al 3.55

Computed properties:
The volume is 177.5 Å³/cell. For the mass density, the calculation gives 5.92 Mg/m³.

***

So which one is most stable? That would be one, about 19 meV per atom below the next structure.

***

## one
An optimized crystal structure of La2SmAl2, computed with PBE.

Unit cell a=5.0977 b=7.0398 c=7.9965 alpha=90.00 beta=90.00 gamma=90.00
Last column: nearest neighbours and their distance in Å.
Space group Immm (No. 71)
Asymmetric unit:
La 0.0000 0.0000 0.1958 (multiplicity 4)  1 La 3.13, 6 Al 3.25-3.29
Sm 0.0000 0.5000 0.0000 (multiplicity 2)  4 Al 3.34, 4 La 3.52
Al 0.0000 0.3061 0.5000 (multiplicity 4)  1 Al 2.73

Computed properties:
The volume is 287.0 Å³/cell. For the mass density, the calculation gives 5.58 Mg/m³.

***

## two
An optimized crystal structure of La2SmAl2, computed with PBE.

Unit cell a=6.3701 b=3.8139 c=12.9704 alpha=90.00 beta=97.30 gamma=90.00
Last column: nearest neighbours and their distance in Å.
Space group P2_1/m (No. 11)
Asymmetric unit:
La 0.0741 0.2500 0.3617 (multiplicity 2)  4 Al 3.18-3.46
La 0.2300 0.7500 0.9296 (multiplicity 2)  4 Al 3.20-3.28
Sm 0.4658 0.2500 0.7103 (multiplicity 2)  5 Al 3.10-3.30
Al 0.2859 0.2500 0.1293 (multiplicity 2)  2 Sm 3.10, 5 La 3.20-3.46
Al 0.3590 0.7500 0.5184 (multiplicity 2)  2 Al 2.70

Computed properties:
The volume is 312.6 Å³/cell. For the mass density, the calculation gives 5.12 Mg/m³.

***

So which one is most stable? That would be one, about 164 meV per atom below the next structure.

***

## one
An optimized crystal structure of LaSm4Al2, computed with PBE.

Unit cell a=5.4322 b=5.4322 c=24.1375 alpha=90.00 beta=90.00 gamma=120.00
Last column: nearest neighbours and their distance in Å.
Space group R-3m (No. 166, hexagonal axes)
Asymmetric unit:
La 0.0000 0.0000 0.0000 (multiplicity 3)  6 Al 3.38, 8 Sm 3.72
Sm 0.0000 0.0000 0.1541 (multiplicity 6)  1 Al 3.06, 3 Sm 3.19
Sm 0.0000 0.0000 0.4164 (multiplicity 6)  4 Al 3.22-3.27, 3 Sm 3.57
Al 0.0000 0.0000 0.2808 (multiplicity 6)  5 Sm 3.06-3.27, 3 La 3.38

Computed properties:
The volume is 616.8 Å³/cell. For the mass density, the calculation gives 6.41 Mg/m³.

***

## two
An optimized crystal structure of LaSm4Al2, computed with PBE.

Unit cell a=8.1937 b=6.5714 c=8.5298 alpha=90.00 beta=116.91 gamma=90.00
Last column: nearest neighbours and their distance in Å.
Space group P2_1/m (No. 11)
Asymmetric unit:
La 0.1856 0.2500 0.2445 (multiplicity 2)  4 Sm 3.22-3.45, 3 Al 3.26-3.35
Sm 0.0600 0.2500 0.5553 (multiplicity 2)  2 Al 3.20-3.24, 5 Sm 3.20-3.44, 1 La 3.25
Sm 0.2646 0.5087 0.9329 (multiplicity 4)  4 Sm 3.17-3.49, 3 Al 3.20-3.27, 1 La 3.45
Sm 0.3743 0.7500 0.5875 (multiplicity 2)  4 Al 3.16-3.45, 1 Sm 3.20, 1 La 3.22
Al 0.1116 0.7500 0.1694 (multiplicity 2)  1 Al 2.90, 4 Sm 3.23-3.24
Al 0.4955 0.2500 0.7096 (multiplicity 2)  1 Al 2.90, 4 Sm 3.16-3.20

Computed properties:
The volume is 409.6 Å³/cell. For the mass density, the calculation gives 6.44 Mg/m³.

***

So which one is most stable? That would be one, about 91 meV per atom below the next structure.